Record 1
DFT (meta-GGA SCAN) results for a PBEsol-optimized structure of ScIrS3.

a = 4.708 Å, b = 4.708 Å, c = 4.708 Å
α = 90.00°, β = 90.00°, γ = 90.00°
Space group Pm-3m (No. 221)
Asymmetric unit:
1 Sc 0.000 0.000 0.000 x1
2 Ir 0.500 0.500 0.500 x1
3 S 0.000 0.000 0.500 x3

***

Record 2
DFT (meta-GGA SCAN) results for a PBEsol-optimized structure of Ir3SeS.

## Properties
Energy relative to the lowest polymorph listed for this composition in eV/f.u.: 0.00

a = 4.392 Å, b = 4.392 Å, c = 4.392 Å
α = 90.00°, β = 90.00°, γ = 90.00°
Space group Pm-3m (No. 221)
Asymmetric unit:
1 Ir 0.000 0.000 0.500 x3
2 Se 0.500 0.500 0.500 x1
3 S 0.000 0.000 0.000 x1

***

Record 3
DFT (meta-GGA SCAN) results for a PBEsol-optimized structure of Ir3SeS.

## Properties
Energy relative to the lowest polymorph listed for this composition in eV/f.u.: 2.89

a = 4.545 Å, b = 4.545 Å, c = 4.545 Å
α = 90.00°, β = 90.00°, γ = 90.00°
Space group Pm-3m (No. 221)
Asymmetric unit:
1 Ir 0.000 0.000 0.500 x3
2 Se 0.000 0.000 0.000 x1
3 S 0.500 0.500 0.500 x1

***

Record 4
DFT (meta-GGA SCAN) results for a PBEsol-optimized structure of SnIrSe2S.

a = 4.581 Å, b = 4.581 Å, c = 5.068 Å
α = 90.00°, β = 90.00°, γ = 90.00°
Space group P4/mmm (No. 123)
Asymmetric unit:
1 Sn 0.000 0.000 0.000 x1
2 Ir 0.500 0.500 0.000 x1
3 Se 0.000 0.500 0.500 x2
4 S 0.000 0.000 0.500 x1

***

Record 5
DFT (meta-GGA SCAN) results for a PBEsol-optimized structure of ZrIrSeS2.

a = 4.607 Å, b = 4.607 Å, c = 4.595 Å
α = 90.00°, β = 90.00°, γ = 90.00°
Space group P4/mmm (No. 123)
Asymmetric unit:
1 Zr 0.000 0.000 0.000 x1
2 Ir 0.500 0.500 0.000 x1
3 Se 0.500 0.500 0.500 x1
4 S 0.000 0.500 0.500 x2

***

Record 6
DFT (meta-GGA SCAN) results for a PBEsol-optimized structure of SiTc2IrS.

a = 4.750 Å, b = 4.750 Å, c = 4.421 Å
α = 90.00°, β = 90.00°, γ = 90.00°
Space group P4/mmm (No. 123)
Asymmetric unit:
1 Si 0.000 0.000 0.000 x1
2 Tc 0.000 0.500 0.500 x2
3 Ir 0.000 0.000 0.500 x1
4 S 0.500 0.500 0.000 x1

***

Record 7
DFT (meta-GGA SCAN) results for a PBEsol-optimized structure of SnIr3S.

a = 4.434 Å, b = 4.434 Å, c = 4.434 Å
α = 90.00°, β = 90.00°, γ = 90.00°
Space group Pm-3m (No. 221)
Asymmetric unit:
1 Sn 0.000 0.000 0.000 x1
2 Ir 0.000 0.500 0.500 x3
3 S 0.500 0.500 0.500 x1

***

Record 8
DFT (meta-GGA SCAN) results for a PBEsol-optimized structure of TaIrS3.

a = 4.508 Å, b = 4.508 Å, c = 4.508 Å
α = 90.00°, β = 90.00°, γ = 90.00°
Space group Pm-3m (No. 221)
Asymmetric unit:
1 Ta 0.000 0.000 0.000 x1
2 Ir 0.500 0.500 0.500 x1
3 S 0.000 0.500 0.500 x3

***

Record 9
DFT (meta-GGA SCAN) results for a PBEsol-optimized structure of TaTe2IrS.

a = 5.340 Å, b = 5.340 Å, c = 4.214 Å
α = 90.00°, β = 90.00°, γ = 90.00°
Space group P4/mmm (No. 123)
Asymmetric unit:
1 Ta 0.000 0.000 0.000 x1
2 Te 0.000 0.500 0.500 x2
3 Ir 0.500 0.500 0.500 x1
4 S 0.500 0.500 0.000 x1

***

Record 10
DFT (meta-GGA SCAN) results for a PBEsol-optimized structure of Tc3IrS.

## Properties
Energy relative to the lowest polymorph listed for this composition in eV/f.u.: 0.00

a = 4.229 Å, b = 4.229 Å, c = 4.229 Å
α = 90.00°, β = 90.00°, γ = 90.00°
Space group Pm-3m (No. 221)
Asymmetric unit:
1 Tc 0.000 0.000 0.500 x3
2 Ir 0.500 0.500 0.500 x1
3 S 0.000 0.000 0.000 x1

***

Record 11
DFT (meta-GGA SCAN) results for a PBEsol-optimized structure of Tc3IrS.

## Properties
Energy relative to the lowest polymorph listed for this composition in eV/f.u.: 5.95

a = 4.651 Å, b = 4.651 Å, c = 4.651 Å
α = 90.00°, β = 90.00°, γ = 90.00°
Space group Pm-3m (No. 221)
Asymmetric unit:
1 Tc 0.000 0.000 0.500 x3
2 Ir 0.000 0.000 0.000 x1
3 S 0.500 0.500 0.500 x1

***

Record 12
DFT (meta-GGA SCAN) results for a PBEsol-optimized structure of Y2TeIrS.

a = 5.040 Å, b = 5.040 Å, c = 4.878 Å
α = 90.00°, β = 90.00°, γ = 90.00°
Space group P4/mmm (No. 123)
Asymmetric unit:
1 Y 0.000 0.500 0.000 x2
2 Te 0.000 0.000 0.500 x1
3 Ir 0.500 0.500 0.500 x1
4 S 0.000 0.000 0.000 x1

***

Record 13
DFT (meta-GGA SCAN) results for a PBEsol-optimized structure of YTeIrS2.

a = 4.461 Å, b = 4.461 Å, c = 5.873 Å
α = 90.00°, β = 90.00°, γ = 90.00°
Space group P4/mmm (No. 123)
Asymmetric unit:
1 Y 0.000 0.000 0.000 x1
2 Te 0.500 0.500 0.000 x1
3 Ir 0.000 0.000 0.500 x1
4 S 0.000 0.500 0.500 x2

***

Record 14
DFT (meta-GGA SCAN) results for a PBEsol-optimized structure of TlIrS2.

a = 3.5461 Å, b = 3.5461 Å, c = 24.6659 Å
α = 90.00°, β = 90.00°, γ = 120.00°
Space group R-3m (No. 166, hexagonal axes)
Asymmetric unit:
1 Tl 0.0000 0.0000 0.0000 x3
2 Ir 0.0000 0.0000 0.5000 x3
3 S 0.0000 0.0000 0.1197 x6

***

Record 15
DFT (meta-GGA SCAN) results for a PBEsol-optimized structure of IrWS3.

a = 4.519 Å, b = 4.519 Å, c = 4.519 Å
α = 90.00°, β = 90.00°, γ = 90.00°
Space group Pm-3m (No. 221)
Asymmetric unit:
1 Ir 0.000 0.000 0.000 x1
2 W 0.500 0.500 0.500 x1
3 S 0.000 0.000 0.500 x3

***

Record 16
DFT (meta-GGA SCAN) results for a PBEsol-optimized structure of YIrS2.

a = 6.391 Å, b = 6.391 Å, c = 6.391 Å
α = 90.00°, β = 90.00°, γ = 90.00°
Space group Fm-3m (No. 225)
Asymmetric unit:
1 Y 0.000 0.000 0.000 x4
2 Ir 0.000 0.000 0.500 x4
3 S 0.250 0.250 0.250 x8

***

Record 17
DFT (meta-GGA SCAN) results for a PBEsol-optimized structure of ZnIrS2.

a = 3.5639 Å, b = 3.5639 Å, c = 20.6074 Å
α = 90.00°, β = 90.00°, γ = 120.00°
Space group R-3m (No. 166, hexagonal axes)
Asymmetric unit:
1 Zn 0.0000 0.0000 0.0000 x3
2 Ir 0.0000 0.0000 0.5000 x3
3 S 0.0000 0.0000 0.1107 x6

***

Record 18
DFT (meta-GGA SCAN) results for a PBEsol-optimized structure of Zr3IrS.

a = 4.989 Å, b = 4.989 Å, c = 4.989 Å
α = 90.00°, β = 90.00°, γ = 90.00°
Space group Pm-3m (No. 221)
Asymmetric unit:
1 Zr 0.000 0.000 0.500 x3
2 Ir 0.000 0.000 0.000 x1
3 S 0.500 0.500 0.500 x1

***

Record 19
DFT (meta-GGA SCAN) results for a PBEsol-optimized structure of SbIr2.

a = 2.913 Å, b = 3.576 Å, c = 9.335 Å
α = 90.00°, β = 90.00°, γ = 90.00°
Space group Immm (No. 71)
Asymmetric unit:
1 Sb 0.000 0.000 0.000 x2
2 Ir 0.000 0.000 0.342 x4

***

Record 20
DFT (meta-GGA SCAN) results for a PBEsol-optimized structure of SbIr3.

a = 8.982 Å, b = 2.903 Å, c = 4.885 Å
α = 90.00°, β = 101.24°, γ = 90.00°
Space group C2/m (No. 12)
Asymmetric unit:
1 Sb 0.000 0.000 0.000 x2
2 Ir 0.000 0.500 0.500 x2
3 Ir 0.250 0.000 0.735 x4

***

Computed values of formation energy without anion corrections (unit: eV per atom) for the preceding records, in sequence: 0.54 1.28 1.86 1.24 0.59 1.40 0.95 0.86 0.86 0.70 1.89 -0.08 -0.41 -0.36 1.30 -0.59 -0.22 -0.01 0.50 0.32.